Entry 1:
First-principles (PBE) data for an optimized crystal structure of SrTa3Cd, as listed in Alexandria via LeMat-Bulk.

Summary:
calculated formation energy: 1.9859 eV per atom
excess energy over the best structure of this formula in the dataset: 0.0 meV/atom

a = 5.156 Å, b = 5.156 Å, c = 5.156 Å
α = 90.00°, β = 90.00°, γ = 90.00°
Space group Pm-3m (No. 221)
One atom of each set of equivalent atoms:
1 Sr 0.000 0.000 0.000 (multiplicity 1)
2 Ta 0.000 0.500 0.500 (multiplicity 3)
3 Cd 0.500 0.500 0.500 (multiplicity 1)

---

Entry 2:
First-principles (PBE) data for an optimized crystal structure of IrPbSe, as listed in Alexandria via LeMat-Bulk.

Summary:
formation energy from raw total energies: 0.1 eV/f.u.
excess energy over the best structure of this formula in the dataset: 93.4 meV/atom

a = 3.5909 Å, b = 3.5909 Å, c = 6.5833 Å
α = 90.00°, β = 90.00°, γ = 120.00°
Space group P3m1 (No. 156)
One atom of each set of equivalent atoms:
1 Ir 0.0000 0.0000 0.0000 (multiplicity 1)
2 Pb 0.6667 0.3333 0.3402 (multiplicity 1)
3 Se 0.3333 0.6667 0.8196 (multiplicity 1)

---

Entry 3:
First-principles (PBE) data for an optimized crystal structure of BaAgPd3Pb, as listed in Alexandria via LeMat-Bulk.

Summary:
calculated formation energy: -0.2225 eV per atom

a = 6.195 Å, b = 12.537 Å, c = 7.462 Å
α = 90.00°, β = 90.00°, γ = 90.00°
Space group Cmcm (No. 63)
One atom of each set of equivalent atoms:
1 Ba 0.000 0.177 0.250 (multiplicity 4)
2 Ag 0.000 0.421 0.250 (multiplicity 4)
3 Pd 0.000 0.354 0.750 (multiplicity 4)
4 Pd 0.233 0.000 0.000 (multiplicity 8)
5 Pb 0.000 0.129 0.750 (multiplicity 4)

---

Entry 4:
First-principles (PBE) data for an optimized crystal structure of Tl3GaF8, as listed in Alexandria via LeMat-Bulk.

Summary:
formation energy from raw total energies: -22.4 eV/f.u.

a = 5.954 Å, b = 5.954 Å, c = 10.441 Å
α = 90.00°, β = 90.00°, γ = 90.00°
Space group I4/mmm (No. 139)
One atom of each set of equivalent atoms:
1 Tl 0.000 0.000 0.000 (multiplicity 2)
2 Tl 0.000 0.500 0.250 (multiplicity 4)
3 Ga 0.000 0.000 0.500 (multiplicity 2)
4 F 0.207 0.207 0.380 (multiplicity 16)

---

Entry 5:
First-principles (PBE) data for an optimized crystal structure of KReC2, as listed in Alexandria via LeMat-Bulk.

Summary:
calculated formation energy: 2.6609 eV per atom
excess energy over the best structure of this formula in the dataset: 2155.6 meV/atom

a = 5.800 Å, b = 5.800 Å, c = 5.800 Å
α = 90.00°, β = 90.00°, γ = 90.00°
Space group Fm-3m (No. 225)
One atom of each set of equivalent atoms:
1 K 0.000 0.000 0.000 (multiplicity 4)
2 Re 0.000 0.000 0.500 (multiplicity 4)
3 C 0.250 0.250 0.250 (multiplicity 8)

---

Entry 6:
First-principles (PBE) data for an optimized crystal structure of CaZn4Os, as listed in Alexandria via LeMat-Bulk.

Summary:
calculated formation energy: 0.0579 eV per atom

a = 7.250 Å, b = 7.250 Å, c = 7.250 Å
α = 90.00°, β = 90.00°, γ = 90.00°
Space group F-43m (No. 216)
One atom of each set of equivalent atoms:
1 Ca 0.000 0.000 0.000 (multiplicity 4)
2 Zn 0.124 0.124 0.376 (multiplicity 16)
3 Os 0.250 0.250 0.750 (multiplicity 4)